TcTe2Ru (GGA-PBE, relaxed); N(E_F) = 1.41 states/eV per atom; total DFT energy (no corrections) = -0.449 Ry per atom; E_form (uncorrected) = 0.378 eV/atom; ΔE to the lowest computed polymorph = 0.3691 eV/atom
1.0
2.063 -4.212 0.069
-0.745 -2.918 3.596
-2.565 -3.878 -0.619
Ru Te Tc
1 2 1
Cartesian
-0.623 -5.504 1.523
-0.312 -2.752 0.761
-0.935 -8.256 2.284
0.000 0.000 0.000

Tc2TeRu (GGA-PBE, relaxed); N(E_F) = 0.83 states/eV per atom; total DFT energy (no corrections) = -0.582 Ry per atom; E_form (uncorrected) = 0.372 eV/atom
1.0
5.297 -0.002 0.003
2.457 4.693 -0.003
-3.370 -3.184 2.562
Tc Ru Te
2 1 1
Cartesian
7.724 4.673 0.000
2.769 -0.500 1.283
1.654 2.031 1.280
3.869 2.340 0.000

TcTeRu (GGA-PBE, relaxed); N(E_F) = 1.27 states/eV per atom; total DFT energy (no corrections) = -0.525 Ry per atom; E_form (uncorrected) = 0.449 eV/atom; ΔE to the lowest computed polymorph = 0.1243 eV/atom
1.0
-2.474 3.603 0.196
-0.884 -3.405 2.602
1.847 1.152 2.134
Ru Te Tc
1 1 1
Cartesian
1.696 1.058 1.960
-0.688 2.051 2.450
-0.673 -0.606 2.657

Tc2TeRu (GGA-PBE, relaxed); N(E_F) = 0.42 states/eV per atom; total DFT energy (no corrections) = -0.544 Ry per atom; E_form (uncorrected) = 0.881 eV/atom
1.0
5.703 0.000 0.000
0.000 5.703 0.000
2.852 2.852 5.773
Te Tc Ru
2 4 2
Cartesian
5.703 2.852 2.887
0.000 0.000 0.000
4.278 4.486 4.330
1.634 4.278 1.443
4.069 1.426 1.443
7.129 6.921 4.330
2.852 2.852 0.000
2.852 5.703 2.887

Tc2TeRu (GGA-PBE, relaxed); N(E_F) = 1.48 states/eV per atom; total DFT energy (no corrections) = -0.571 Ry per atom; E_form (uncorrected) = 0.518 eV/atom
1.0
-0.725 -4.821 -0.577
3.458 1.300 3.233
-2.053 0.049 2.176
Tc Te Ru
2 1 1
Cartesian
1.366 -1.760 1.328
0.000 0.000 0.000
-1.389 -2.386 0.800
0.702 0.675 2.704

TcTe3Ru (GGA-PBE, relaxed); N(E_F) = 1.06 states/eV per atom; total DFT energy (no corrections) = -0.346 Ry per atom; E_form (uncorrected) = 1.102 eV/atom; ΔE to the lowest computed polymorph = 0.0000 eV/atom
1.0
5.179 0.000 0.000
0.000 5.179 0.000
0.000 0.000 5.179
Te Ru Tc
3 1 1
Cartesian
2.589 0.000 0.000
0.000 0.000 2.589
0.000 2.589 0.000
0.000 0.000 0.000
2.589 2.589 2.589

TcTe2Ru (GGA-PBE, relaxed); N(E_F) = 0.91 states/eV per atom; total DFT energy (no corrections) = -0.444 Ry per atom; E_form (uncorrected) = 0.436 eV/atom; ΔE to the lowest computed polymorph = 0.4265 eV/atom
1.0
6.252 0.065 0.000
3.712 5.032 0.000
-4.572 -3.351 2.640
Tc Te Ru
1 2 1
Cartesian
3.744 -0.158 1.320
9.814 5.021 0.000
2.202 2.187 1.320
4.579 2.343 0.000

Tc2TeRu (GGA-PBE, relaxed); N(E_F) = 1.04 states/eV per atom; total DFT energy (no corrections) = -0.578 Ry per atom; E_form (uncorrected) = 0.419 eV/atom
1.0
4.117 0.000 0.000
0.000 2.916 0.008
0.000 1.792 5.459
Ru Te Tc
1 1 2
Cartesian
2.058 3.531 4.100
2.058 1.177 1.367
0.000 2.066 2.866
0.000 2.081 5.326